# 1
Mn2HgP PBEsol optimized geometry; formation energy = 0.140 eV/atom; space-group type = P4mm, No. 99
1.0
-0.7585 1.1074 2.4087
-1.2022 -2.3766 0.7141
6.4607 -2.3343 3.1076
Mn P Hg
2 1 1
direct
0.5000 0.5000 0.2416
0.0000 0.0000 0.0570
0.0000 0.0000 0.4160
0.5000 0.5000 0.7854



# 2
MnHgPS2 PBEsol optimized geometry; energy relative to the elements, uncorrected = 1.181 eV per atom; space-group type = P4/mmm, No. 123
1.0
-2.6943 3.6980 1.5762
-3.2027 -3.1801 1.9864
2.5537 0.0628 4.2179
S Hg Mn P
2 1 1 1
direct
0.0000 0.0000 0.5000
0.0000 0.5000 0.0000
0.0000 0.0000 0.0000
0.5000 0.5000 0.5000
0.5000 0.0000 0.0000



# 3
MnHgPb2 PBEsol optimized geometry; formation energy = 0.381 eV/atom; space-group type = P2/m, No. 10
1.0
-0.7280 2.8562 -1.9024
-4.9067 -1.0656 0.2778
1.7581 3.4086 4.4447
Hg Pb Mn
1 2 1
direct
0.5000 0.5000 0.0000
0.0000 0.0000 0.0000
0.5000 0.0000 0.5000
0.0000 0.5000 0.5000



no.,spin magnetization (μB per cell)
1,1.2
2,3.9
3,4.1